# 1
BePtO | the Alexandria database | PBE-GGA | optimized geometry; space-group type = No. 1; formation energy from raw total energies = -1.4974 eV/atom
1.0
4.525 0.000 0.001
0.000 2.651 0.048
0.001 2.435 7.478
Be Pt O
2 2 2
Direct
0.382 0.804 0.911
0.882 0.305 0.911
0.402 0.277 0.443
0.902 0.838 0.380
0.717 0.806 0.910
0.217 0.303 0.913


# 2
TeP2Au | the Alexandria database | PBE-GGA | optimized geometry; space-group type = No. 122; formation energy from raw total energies = 0.3700 eV/atom
1.0
-1.503 5.001 2.788
-0.859 -3.047 5.002
4.480 1.843 5.394
P Te Au
4 2 2
Direct
0.665 0.125 0.250
0.085 0.625 0.250
0.375 0.335 0.750
0.875 0.915 0.750
0.500 0.500 0.000
0.250 0.750 0.500
0.000 0.000 0.000
0.750 0.250 0.500


# 3
Pm2AgHg4 | the Alexandria database | PBE-GGA | optimized geometry; calculated formation energy = -0.19 eV/atom; space-group type = No. 139; E above lowest polymorph = 0.686 eV per formula unit
1.0
-3.519 2.033 -1.477
1.472 -0.391 -4.047
-3.589 -9.419 1.915
Pm Ag Hg
2 1 4
Direct
0.596 0.596 0.192
0.404 0.404 0.808
0.000 0.000 0.000
0.143 0.143 0.286
0.857 0.857 0.714
0.750 0.250 0.500
0.250 0.750 0.500


# 4
CuRh5Se8 | the Alexandria database | PBE-GGA | optimized geometry; space-group type = No. 216; formation energy from raw total energies = -0.3757 eV/atom
1.0
-7.053 0.776 1.944
-1.884 -0.058 7.112
-2.258 6.198 3.258
Cu Rh Se
1 5 8
Direct
0.250 0.250 0.250
0.000 0.000 0.000
0.624 0.624 0.129
0.624 0.624 0.624
0.129 0.624 0.624
0.624 0.129 0.624
0.384 0.847 0.384
0.847 0.384 0.384
0.384 0.384 0.384
0.384 0.384 0.847
0.866 0.866 0.402
0.402 0.866 0.866
0.866 0.866 0.866
0.866 0.402 0.866